# YHf2Pd2, relaxed, DFT PBE
data_YHf2Pd2
_symmetry_space_group_name_H-M 'P 4/m b m'
_symmetry_Int_Tables_number 127
_symmetry_space_group_name_Hall '-P 4 2ab'
_cell_length_a 7.879
_cell_length_b 7.879
_cell_length_c 3.343
_cell_angle_alpha 90.00
_cell_angle_beta 90.00
_cell_angle_gamma 90.00
loop_
_atom_site_label
_atom_site_fract_x
_atom_site_fract_y
_atom_site_fract_z
Y1 0.000 0.000 0.000
Hf1 0.163 0.337 0.500
Pd1 0.127 0.627 0.000
# ΔE to the lowest computed polymorph, meV per atom: 0.0
# DFT formation energy, eV per atom: -0.5030
# Total moment, μB/f.u.: 0.00



# ScPtSe2, relaxed, DFT PBE
data_ScPtSe2
_symmetry_space_group_name_H-M 'R -3 m'
_symmetry_Int_Tables_number 166
_symmetry_space_group_name_Hall '-R 3 2"'
_cell_length_a 4.0635
_cell_length_b 4.0635
_cell_length_c 16.8971
_cell_angle_alpha 90.00
_cell_angle_beta 90.00
_cell_angle_gamma 120.00
loop_
_atom_site_label
_atom_site_fract_x
_atom_site_fract_y
_atom_site_fract_z
Sc1 0.0000 0.0000 0.0000
Pt1 0.0000 0.0000 0.5000
Se1 0.0000 0.0000 0.2478
# ΔE to the lowest computed polymorph, meV per atom: 302.5
# Total moment, μB/f.u.: 0.00
# E_form (uncorrected), eV/atom: -0.695